A plane-wave DFT calculation with SCAN was carried out for a crystal of La2SeCl relaxed with PBEsol.

a b c (Å): 5.108 5.108 5.108
angles (deg): 60.00 60.00 60.00
Atoms (fractional coordinates):
La1 0.250 0.250 0.250
La2 0.750 0.750 0.750
Se1 0.000 0.000 0.000
Cl1 0.500 0.500 0.500

## Properties
Total moment = 0.00 Bohr magnetons per cell
Uncorrected formation energy = -1.82 eV per atom
Energy above the most stable polymorph in this dataset = 148.7 meV/atom